VASP calculation (GGA-PBE) on a relaxed structure of MnTc2Mo.

Computed properties:
**Energy of formation**: 31 meV per atom

```
MnTc2Mo
1.0
4.299 0.000 0.000
0.000 4.299 0.000
0.000 0.000 3.141
Mn Tc Mo
1 2 1
direct
0.000 0.000 0.000 Mn
0.000 0.500 0.500 Tc
0.500 0.000 0.500 Tc
0.500 0.500 0.000 Mo
```